Record 1
Material: PmMo4O12
Method: DFT, PBE with a Hubbard U
State: relaxed

## Properties
Fermi-level density of states = 6.1 states/eV/cell
Energy = -7.2860 eV/atom

```
data_PmMo4O12
_cell_length_a 7.822
_cell_length_b 7.822
_cell_length_c 7.629
_cell_angle_alpha 90.00
_cell_angle_beta 90.00
_cell_angle_gamma 90.00
_space_group_name_H-M_alt 'I 4/m m m'
_space_group_IT_number 139
_space_group_name_Hall '-I 4 2'
loop_
_atom_site_label
_atom_site_type_symbol
_atom_site_fract_x
_atom_site_fract_y
_atom_site_fract_z
Pm1 Pm 0.000 0.000 0.000
Mo1 Mo 0.250 0.250 0.250
O1 O 0.000 0.244 0.207
O2 O 0.221 0.221 0.500
```



Record 2
Material: PmMoO6
Method: DFT, PBE with a Hubbard U
State: relaxed

## Properties
Fermi-level density of states = 6.3 states/eV/cell
Energy = -6.6751 eV/atom

```
data_PmMoO6
_cell_length_a 5.780
_cell_length_b 6.441
_cell_length_c 5.311
_cell_angle_alpha 90.00
_cell_angle_beta 100.17
_cell_angle_gamma 90.00
_space_group_name_H-M_alt 'C 1 2/m 1'
_space_group_IT_number 12
loop_
_space_group_symop_operation_xyz
'x,y,z'
'-x,-y,-z'
'-x,y,-z'
'x,-y,z'
'x+1/2,y+1/2,z'
'-x+1/2,-y+1/2,-z'
'-x+1/2,y+1/2,-z'
'x+1/2,-y+1/2,z'
loop_
_atom_site_label
_atom_site_type_symbol
_atom_site_fract_x
_atom_site_fract_y
_atom_site_fract_z
Pm1 Pm 0.000 0.000 0.000
Mo1 Mo 0.000 0.500 0.500
O1 O 0.153 0.303 0.748
O2 O 0.220 0.000 0.671
```